[1]
An optimized crystal structure of ErPuI6. Source: the Alexandria database, functional PBE.

The uncorrected formation energy comes out at -1.207 eV per atom. As for the space-group type: C2/m (12). The calculation puts the magnetic moment at 5.0 μB/f.u. Its excess energy over the best structure of this formula in the dataset is 0.0 meV per atom. For the density of states at the Fermi level, the calculation gives 18.6 states/eV/cell.

Lattice parameters (Å, degrees): 8.0076 13.7879 7.7355 90.00 92.99 90.00
Sites, in units of the cell vectors:
1 Er 0.0000 0.0000 0.0000
2 Er 0.5000 0.5000 0.0000
3 Pu 0.0000 0.0000 0.5000
4 Pu 0.5000 0.5000 0.5000
5 I 0.1496 0.1497 0.2485
6 I 0.1496 0.8503 0.2485
7 I 0.2019 0.5000 0.2247
8 I 0.2981 0.0000 0.7753
9 I 0.3504 0.3503 0.7515
10 I 0.3504 0.6497 0.7515
11 I 0.6496 0.3503 0.2485
12 I 0.6496 0.6497 0.2485
13 I 0.7019 0.0000 0.2247
14 I 0.7981 0.5000 0.7753
15 I 0.8504 0.1497 0.7515
16 I 0.8504 0.8503 0.7515



[2]
An optimized crystal structure of Ge3Mo6C. Source: the Alexandria database, functional PBE.

As for the space-group type: C2/m (12). The calculation puts the magnetic moment at 0.0 μB/f.u. The formation energy comes out at 0.221 eV/atom. For the density of states at the Fermi level, the calculation gives 6.6 states/eV/cell.

Lattice parameters (Å, degrees): 5.5137 5.5137 6.8011 111.54 111.54 59.49
Sites, in units of the cell vectors:
1 Ge 0.0000 0.0000 0.0000
2 Ge 0.2137 0.2137 0.7760
3 Ge 0.7863 0.7863 0.2240
4 Mo 0.1402 0.6621 0.6266
5 Mo 0.2947 0.2947 0.2112
6 Mo 0.3379 0.8598 0.3734
7 Mo 0.6621 0.1402 0.6266
8 Mo 0.7053 0.7053 0.7888
9 Mo 0.8598 0.3379 0.3734
10 C 0.5000 0.5000 0.5000



[3]
An optimized crystal structure of Pm6C2Br2O. Source: the Alexandria database, functional PBE.

The uncorrected formation energy comes out at -1.100 eV per atom. As for the space-group type: C2/m (12). The calculation puts the magnetic moment at 0.0 μB/f.u. For the density of states at the Fermi level, the calculation gives 6.3 states/eV/cell.

Lattice parameters (Å, degrees): 6.4829 6.4829 7.3809 98.73 98.73 119.67
Sites, in units of the cell vectors:
1 Pm 0.1026 0.4291 0.8102
2 Pm 0.2225 0.2225 0.1948
3 Pm 0.4291 0.1026 0.8102
4 Pm 0.5709 0.8974 0.1898
5 Pm 0.7775 0.7775 0.8052
6 Pm 0.8974 0.5709 0.1898
7 C 0.1698 0.8302 0.0000
8 C 0.8302 0.1698 0.0000
9 Br 0.3294 0.6706 0.5000
10 Br 0.6706 0.3294 0.5000
11 O 0.5000 0.5000 0.0000



[4]
An optimized crystal structure of K3ZnRe. Source: the Alexandria database, functional PBE.

As for the space-group type: Pm-3m (221). The calculation puts the magnetic moment at 2.6 μB/f.u. Its excess energy over the best structure of this formula in the dataset is 0.0 meV per atom. The formation energy comes out at 1.468 eV/atom. For the density of states at the Fermi level, the calculation gives 13.9 states/eV/cell.

Lattice parameters (Å, degrees): 6.4206 6.4206 6.4206 90.00 90.00 90.00
Sites, in units of the cell vectors:
1 K 0.0000 0.0000 0.5000
2 K 0.0000 0.5000 0.0000
3 K 0.5000 0.0000 0.0000
4 Zn 0.5000 0.5000 0.5000
5 Re 0.0000 0.0000 0.0000



The lowest density of states at the Fermi level belongs to which entry?
Pm6C2Br2O



What did the first record say?
An optimized crystal structure of ErPuI6. Source: the Alexandria database, functional PBE.

The uncorrected formation energy comes out at -1.207 eV per atom. As for the space-group type: C2/m (12). The calculation puts the magnetic moment at 5.0 μB/f.u. Its excess energy over the best structure of this formula in the dataset is 0.0 meV per atom. For the density of states at the Fermi level, the calculation gives 18.6 states/eV/cell.

Lattice parameters (Å, degrees): 8.0076 13.7879 7.7355 90.00 92.99 90.00
Sites, in units of the cell vectors:
1 Er 0.0000 0.0000 0.0000
2 Er 0.5000 0.5000 0.0000
3 Pu 0.0000 0.0000 0.5000
4 Pu 0.5000 0.5000 0.5000
5 I 0.1496 0.1497 0.2485
6 I 0.1496 0.8503 0.2485
7 I 0.2019 0.5000 0.2247
8 I 0.2981 0.0000 0.7753
9 I 0.3504 0.3503 0.7515
10 I 0.3504 0.6497 0.7515
11 I 0.6496 0.3503 0.2485
12 I 0.6496 0.6497 0.2485
13 I 0.7019 0.0000 0.2247
14 I 0.7981 0.5000 0.7753
15 I 0.8504 0.1497 0.7515
16 I 0.8504 0.8503 0.7515



Look up the density of states at the Fermi level of the second one.
6.6 states/eV/cell



density of states at the Fermi level of number 1 (ErPuI6)?
18.6 states/eV/cell